This record from Alexandria describes SrTcP2Ir after structural relaxation. The functional is GGA-PBE.

Summary:
**ΔH_f (0 K)**: 2685.2 meV/atom
**Space-group type**: P4/mmm (123)
**E above lowest polymorph**: 3.551 eV per atom
**V**: 26.41 A^3/atom

abc: 5.1327 5.1327 5.0118
angles: 90.00 90.00 90.00
Positions (direct):
1 Sr 0.0000 0.0000 0.0000
2 Tc 0.0000 0.0000 0.5000
3 P 0.0000 0.5000 0.0000
4 P 0.5000 0.0000 0.0000
5 Ir 0.5000 0.5000 0.5000